The following is a PBE+U calculation of a geometry-optimized CoPbSeO structure, from the Open Quantum Materials Database.

Calculated values
Polymorph energy (0 for the lowest one) = 0.00 eV/f.u.
Magnetic moment = 3.00 μB/f.u.
Calculated total energy = -80.35 eV/cell

abc: 6.125 9.155 5.957
angles: 90.00 90.00 90.00
Fractional coordinates of all 16 atoms:
Co  0.109  0.061  0.000
Co  0.391  0.061  0.500
Co  0.609  0.939  0.000
Co  0.891  0.939  0.500
Pb  0.010  0.326  0.598
Pb  0.490  0.326  0.098
Pb  0.510  0.674  0.598
Pb  0.990  0.674  0.098
Se  0.012  0.684  0.597
Se  0.488  0.684  0.097
Se  0.512  0.316  0.597
Se  0.988  0.316  0.097
O  0.099  0.067  0.655
O  0.401  0.067  0.155
O  0.599  0.933  0.655
O  0.901  0.933  0.155